Entry 1:
Here is a geometry-optimized ZrCdOs2 structure from the Alexandria database. Energies are from PBEsol.

Calculated volume: 67.3 Å³ per cell
E: -8.51 eV per atom
D(E_F): 0.574 states/eV/atom
Space group: No. 44
Energy of formation from the pure elements: 16.61 kJ/mol of atoms

Cell: 3.0920 4.5479 5.5166 Å, 114.34 106.27 90.00°
Positions (direct):
Os  0.7326  0.2326  0.4652
Zr  0.4880  0.4880  0.9759
Os  0.0145  0.0145  0.0290
Cd  0.2649  0.7649  0.5298



Entry 2:
Here is a geometry-optimized In2RuWF structure from the Alexandria database. Energies are from PBEsol.

Calculated volume: 104.5 Å³ per cell
E_form (uncorrected): 0.8259 eV per atom
E: -5.55 eV per atom
D(E_F): 1.027 states/eV/atom
Space group: No. 123

Cell: 3.8055 5.2397 5.2397 Å, 90.00 90.00 90.00°
Site moments in Bohr magnetons follow the coordinates.
Positions (direct):
W  0.0000  0.0000  0.0000  0.69
In  0.0000  0.5000  0.0000  -0.01
Ru  0.5000  0.5000  0.5000  1.86
In  0.0000  0.0000  0.5000  -0.01
F  0.5000  0.0000  0.0000  0.00



Entry 3:
Here is a geometry-optimized LaY2RhBr structure from the Alexandria database. Energies are from PBEsol.

Calculated volume: 152.5 Å³ per cell
E_form (uncorrected): 0.5895 eV per atom
E: -5.21 eV per atom
D(E_F): 1.090 states/eV/atom
Space group: No. 123

Cell: 4.6630 5.7182 5.7182 Å, 90.00 90.00 90.00°
Positions (direct):
Rh  0.5000  0.0000  0.0000
Br  0.5000  0.5000  0.5000
Y  0.0000  0.0000  0.5000
La  0.0000  0.0000  0.0000
Y  0.0000  0.5000  0.0000



Entry 4:
Here is a geometry-optimized CoSb2IrI structure from the Alexandria database. Energies are from PBEsol.

Calculated volume: 139.5 Å³ per cell
E_form (uncorrected): 1.1102 eV per atom
E: -4.58 eV per atom
D(E_F): 0.847 states/eV/atom
Space group: No. 123

Cell: 5.0214 5.0214 5.5334 Å, 90.00 90.00 90.00°
Site moments in Bohr magnetons follow the coordinates.
Positions (direct):
Ir  0.0000  0.0000  0.0000  -0.05
Sb  0.0000  0.5000  0.0000  -0.02
I  0.0000  0.0000  0.5000  0.03
Co  0.5000  0.5000  0.5000  2.12
Sb  0.5000  0.0000  0.0000  -0.02



Entry 5:
Here is a geometry-optimized LiCoPO4 structure from the Alexandria database. Energies are from PBEsol.

Calculated volume: 278.7 Å³ per cell
E_form (uncorrected): -1.7939 eV per atom
E: -7.01 eV per atom
Distance to the lowest polymorph of the same formula: 58 meV per atom
Space group: No. 33

Cell: 5.2124 6.3674 8.3976 Å, 90.00 90.00 90.00°
Site moments in Bohr magnetons follow the coordinates.
Positions (direct):
P  0.2203  0.2943  0.1074  0.01
P  0.7203  0.2057  0.6074  0.01
O  0.3900  0.3342  0.2559  0.07
O  0.8517  0.3790  0.5024  0.10
Co  0.7252  0.2025  0.9649  2.57
Co  0.2252  0.7975  0.0351  2.57
P  0.2203  0.7943  0.3926  0.01
Co  0.2252  0.2975  0.4649  2.57
Co  0.7252  0.7025  0.5351  2.57
O  0.1851  0.9903  0.4957  0.06
O  0.4517  0.7838  0.8347  0.07
O  0.8517  0.8790  0.9976  0.10
O  0.4517  0.2838  0.6653  0.07
O  0.3517  0.6210  0.4976  0.10
O  0.3900  0.8342  0.2441  0.07
O  0.1851  0.4903  0.0043  0.06
O  0.3517  0.1210  0.0024  0.10
Li  0.2370  0.0243  0.7381  0.00
P  0.7203  0.7057  0.8926  0.01
O  0.6851  0.0097  0.5043  0.06
O  0.8900  0.6658  0.7441  0.07
O  0.6851  0.5097  0.9957  0.06
Li  0.7370  0.4757  0.2381  0.00
Li  0.7370  0.9757  0.2619  0.00
O  0.9517  0.7162  0.3347  0.07
O  0.9517  0.2162  0.1653  0.07
O  0.8900  0.1658  0.7559  0.07
Li  0.2370  0.5243  0.7619  0.00



Entry 6:
Here is a geometry-optimized LiCaAl2 structure from the Alexandria database. Energies are from PBEsol.

Calculated volume: 83.8 Å³ per cell
E: -3.11 eV per atom
Distance to the lowest polymorph of the same formula: 112 meV per atom
D(E_F): 0.527 states/eV/atom
Space group: No. 8
Energy of formation from the pure elements: -3.79 kJ/mol of atoms

Cell: 3.2089 4.8594 5.7606 Å, 98.16 90.00 109.28°
Positions (direct):
Li  0.7352  0.4704  0.2006
Al  0.2618  0.5236  0.8020
Ca  0.5072  0.0144  0.4996
Al  0.9958  0.9916  0.9978



Entry 7:
Here is a geometry-optimized MgZrCo2 structure from the Alexandria database. Energies are from PBEsol.

Calculated volume: 56.5 Å³ per cell
E: -6.72 eV per atom
D(E_F): 0.172 states/eV/atom
Space group: No. 123
Energy of formation from the pure elements: -14.83 kJ/mol of atoms

Cell: 3.1564 4.2320 4.2320 Å, 90.00 90.00 90.00°
Positions (direct):
Zr  0.5000  0.0000  0.0000
Co  0.0000  0.5000  0.0000
Mg  0.5000  0.5000  0.5000
Co  0.0000  0.0000  0.5000



Entry 8:
Here is a geometry-optimized BaHgTe2 structure from the Alexandria database. Energies are from PBEsol.

Calculated volume: 148.6 Å³ per cell
E_form (uncorrected): -0.8795 eV per atom
E: -3.32 eV per atom
Space group: No. 6

Cell: 4.8683 4.6703 6.8409 Å, 107.23 90.00 90.00°
Positions (direct):
Hg  0.5000  0.8303  0.7772
Ba  0.0000  0.7710  0.3425
Te  0.0000  0.0815  0.9383
Te  0.5000  0.3171  0.4420



Entry 9:
Here is a geometry-optimized MnMoSCl2 structure from the Alexandria database. Energies are from PBEsol.

Calculated volume: 106.2 Å³ per cell
E_form (uncorrected): 0.1922 eV per atom
E: -5.79 eV per atom
D(E_F): 0.863 states/eV/atom
Space group: No. 123

Cell: 4.5840 4.8132 4.8132 Å, 90.00 90.00 90.00°
Site moments in Bohr magnetons follow the coordinates.
Positions (direct):
S  0.5000  0.0000  0.0000  0.00
Mn  0.5000  0.5000  0.5000  4.68
Cl  0.0000  0.0000  0.5000  0.06
Cl  0.0000  0.5000  0.0000  0.06
Mo  0.0000  0.0000  0.0000  0.84



Entry 10:
Here is a geometry-optimized Nb2GaSiTc structure from the Alexandria database. Energies are from PBEsol.

Calculated volume: 92.5 Å³ per cell
E_form (uncorrected): 0.6885 eV per atom
E: -7.71 eV per atom
D(E_F): 1.256 states/eV/atom
Space group: No. 123

Cell: 4.3217 4.6261 4.6261 Å, 90.00 90.00 90.00°
Positions (direct):
Si  0.0000  0.0000  0.0000
Tc  0.5000  0.0000  0.0000
Ga  0.5000  0.5000  0.5000
Nb  0.0000  0.5000  0.0000
Nb  0.0000  0.0000  0.5000



Entry 11:
Here is a geometry-optimized WC2 structure from the Alexandria database. Energies are from PBEsol.

Calculated volume: 51.4 Å³ per cell
E: -9.72 eV per atom
Distance to the lowest polymorph of the same formula: 811 meV per atom
D(E_F): 0.305 states/eV/atom
Space group: No. 141
Energy of formation from the pure elements: 126.80 kJ/mol of atoms

Cell: 2.6629 2.6629 7.4836 Å, 100.25 100.25 90.00°
Positions (direct):
C  0.6547  0.1547  0.3094
C  0.5953  0.5953  0.1906
W  0.0000  0.0000  0.0000
C  0.8453  0.3453  0.6906
C  0.4047  0.4047  0.8094
W  0.2500  0.7500  0.5000



Entry 12:
Here is a geometry-optimized KAuCl4 structure from the Alexandria database. Energies are from PBEsol.

Calculated volume: 325.1 Å³ per cell
E_form (uncorrected): -0.9047 eV per atom
E: -3.09 eV per atom
D(E_F): 0.000 states/eV/atom
Space group: No. 14

Cell: 5.6021 6.9667 8.5865 Å, 104.01 90.00 90.00°
Positions (direct):
K  0.5000  0.0000  0.0000
Cl  0.4904  0.2570  0.3780
Cl  0.9904  0.2430  0.1220
Cl  0.8080  0.8612  0.3354
Cl  0.0096  0.7570  0.8780
Cl  0.1920  0.1388  0.6646
Au  0.5000  0.0000  0.5000
Cl  0.5096  0.7430  0.6220
K  0.0000  0.5000  0.5000
Cl  0.3080  0.6388  0.1646
Cl  0.6920  0.3612  0.8354
Au  0.0000  0.5000  0.0000



Entry 13:
Here is a geometry-optimized CrRu3 structure from the Alexandria database. Energies are from PBEsol.

Calculated volume: 51.3 Å³ per cell
E: -10.16 eV per atom
D(E_F): 1.004 states/eV/atom
Space group: No. 25
Energy of formation from the pure elements: 2.64 kJ/mol of atoms

Cell: 2.6731 4.1885 4.5834 Å, 90.00 90.00 90.00°
Positions (direct):
Ru  0.0000  0.5000  0.3289
Cr  0.0000  0.0000  0.0003
Ru  0.5000  0.5000  0.8411
Ru  0.5000  0.0000  0.4964



no.,total magnetization (μB/f.u.)
1,0.000
2,2.734
3,0.000
4,2.058
5,3.000
6,0.000
7,0.000
8,0.000
9,6.434
10,0.000
11,0.000
12,0.000
13,0.003